Arrangement w

## Pt2Br (GGA-PBEsol)

Data for crystalline Pt2Br at its relaxed geometry.

Cell lengths 4.2984, 4.2984, 4.2984 Å; angles 60.00, 60.00, 60.00 degrees
Positions (direct):
Pt1 0.2500 0.2500 0.2500
Pt2 0.7500 0.7500 0.7500
Br1 0.0000 0.0000 0.0000

Values from the calculation:
- DOS(E_F) (states/eV/cell) = 3.64
- density (g cm⁻³) = 13.90
- magnetization (μB/cell) = 0.00

Arrangement x

## Pt2Br (GGA-PBEsol)

Data for crystalline Pt2Br at its relaxed geometry.

Cell lengths 5.2514, 5.2514, 5.2514 Å; angles 140.12, 140.12, 57.68 degrees
Positions (direct):
Pt1 0.2223 0.2223 0.0000
Pt2 0.7777 0.7777 0.0000
Br1 0.5000 0.5000 0.0000

Values from the calculation:
- DOS(E_F) (states/eV/cell) = 2.47
- density (g cm⁻³) = 13.22
- magnetization (μB/cell) = 0.00

Which structure wins on stability? arrangement x wins.

Arrangement w

## RuPt2Br (GGA-PBEsol)

Data for crystalline RuPt2Br at its relaxed geometry.

Cell lengths 4.9333, 4.9333, 4.9333 Å; angles 133.15, 133.15, 68.42 degrees
Positions (direct):
Ru1 0.0000 0.0000 0.0000
Pt1 0.2500 0.7500 0.5000
Pt2 0.7500 0.2500 0.5000
Br1 0.5000 0.5000 0.0000

Values from the calculation:
- DOS(E_F) (states/eV/cell) = 6.29
- density (g cm⁻³) = 15.11
- magnetization (μB/cell) = 0.02

Arrangement x

## RuPt2Br (GGA-PBEsol)

Data for crystalline RuPt2Br at its relaxed geometry.

Cell lengths 2.7756, 2.7756, 8.6885 Å; angles 90.00, 90.00, 90.00 degrees
Positions (direct):
Ru1 0.0000 0.0000 0.0000
Pt1 0.5000 0.5000 0.2073
Pt2 0.5000 0.5000 0.7927
Br1 0.0000 0.0000 0.5000

Values from the calculation:
- DOS(E_F) (states/eV/cell) = 5.48
- density (g cm⁻³) = 14.17
- magnetization (μB/cell) = 0.00

Which structure wins on stability? arrangement x wins.

Arrangement w

## Tc2PtBr (GGA-PBEsol)

Data for crystalline Tc2PtBr at its relaxed geometry.

Cell lengths 4.5511, 4.5511, 2.8843 Å; angles 90.00, 90.00, 90.00 degrees
Positions (direct):
Tc1 0.0000 0.5000 0.0000
Tc2 0.5000 0.0000 0.0000
Pt1 0.0000 0.0000 0.5000
Br1 0.5000 0.5000 0.5000

Values from the calculation:
- DOS(E_F) (states/eV/cell) = 4.89
- density (g cm⁻³) = 13.09
- magnetization (μB/cell) = 0.00

Arrangement x

## Tc2PtBr (GGA-PBEsol)

Data for crystalline Tc2PtBr at its relaxed geometry.

Cell lengths 2.7804, 2.7804, 9.2734 Å; angles 90.00, 90.00, 119.44 degrees
Positions (direct):
Tc1 0.0000 0.0000 0.2478
Tc2 0.0000 0.0000 0.7522
Pt1 0.5000 0.5000 0.0000
Br1 0.5000 0.5000 0.5000

Values from the calculation:
- DOS(E_F) (states/eV/cell) = 6.40
- density (g cm⁻³) = 12.53
- magnetization (μB/cell) = 0.11

Which structure wins on stability? arrangement w wins.

Arrangement w

## TlPt2Br (GGA-PBEsol)

Data for crystalline TlPt2Br at its relaxed geometry.

Cell lengths 3.4738, 3.4738, 7.1100 Å; angles 90.00, 90.00, 90.00 degrees
Positions (direct):
Tl1 0.0000 0.0000 0.0000
Pt1 0.0000 0.0000 0.5904
Pt2 0.5000 0.5000 0.7048
Br1 0.5000 0.5000 0.3058

Values from the calculation:
- DOS(E_F) (states/eV/cell) = 2.34
- density (g cm⁻³) = 13.05
- magnetization (μB/cell) = 0.00

Arrangement x

## TlPt2Br (GGA-PBEsol)

Data for crystalline TlPt2Br at its relaxed geometry.

Cell lengths 5.5002, 5.5002, 5.5002 Å; angles 138.00, 138.00, 60.90 degrees
Positions (direct):
Tl1 0.0000 0.0000 0.0000
Pt1 0.2500 0.7500 0.5000
Pt2 0.5000 0.5000 0.0000
Br1 0.7500 0.2500 0.5000

Values from the calculation:
- DOS(E_F) (states/eV/cell) = 1.14
- density (g cm⁻³) = 15.20
- magnetization (μB/cell) = 0.00

Which structure wins on stability? arrangement w wins.

Arrangement w

## PtWBr2 (GGA-PBEsol)

Data for crystalline PtWBr2 at its relaxed geometry.

Cell lengths 4.8571, 4.8571, 4.8571 Å; angles 128.66, 128.66, 75.56 degrees
Positions (direct):
Pt1 0.0000 0.0000 0.0000
W1 0.5000 0.5000 0.0000
Br1 0.2500 0.7500 0.5000
Br2 0.7500 0.2500 0.5000

Values from the calculation:
- DOS(E_F) (states/eV/cell) = 2.07
- density (g cm⁻³) = 13.16
- magnetization (μB/cell) = 0.00

Arrangement x

## PtWBr2 (GGA-PBEsol)

Data for crystalline PtWBr2 at its relaxed geometry.

Cell lengths 8.9968, 8.9968, 8.9968 Å; angles 19.57, 19.57, 19.57 degrees
Positions (direct):
Pt1 0.0000 0.0000 0.0000
W1 0.5000 0.5000 0.5000
Br1 0.2390 0.2390 0.2390
Br2 0.7610 0.7610 0.7610

Values from the calculation:
- DOS(E_F) (states/eV/cell) = 2.54
- density (g cm⁻³) = 12.53
- magnetization (μB/cell) = 0.00

Arrangement y

## PtWBr2 (GGA-PBEsol)

Data for crystalline PtWBr2 at its relaxed geometry.

Cell lengths 5.3271, 5.3271, 3.0136 Å; angles 103.45, 103.45, 112.67 degrees
Positions (direct):
Pt1 0.0000 0.0000 0.0000
W1 0.5000 0.5000 0.0000
Br1 0.0000 0.5000 0.0000
Br2 0.5000 0.0000 0.0000

Values from the calculation:
- DOS(E_F) (states/eV/cell) = 3.26
- density (g cm⁻³) = 12.49
- magnetization (μB/cell) = 0.74

Which structure wins on stability? arrangement x wins.

Arrangement w

## Zn2PtBr (GGA-PBEsol)

Data for crystalline Zn2PtBr at its relaxed geometry.

Cell lengths 4.6997, 4.6997, 2.9661 Å; angles 90.00, 90.00, 92.85 degrees
Positions (direct):
Zn1 0.0000 0.5000 0.0000
Zn2 0.5000 0.0000 0.0000
Pt1 0.0000 0.0000 0.5000
Br1 0.5000 0.5000 0.5000

Values from the calculation:
- DOS(E_F) (states/eV/cell) = 0.92
- density (g cm⁻³) = 10.30
- magnetization (μB/cell) = 0.00

Arrangement x

## Zn2PtBr (GGA-PBEsol)

Data for crystalline Zn2PtBr at its relaxed geometry.

Cell lengths 3.0371, 3.3324, 7.0943 Å; angles 90.00, 90.00, 90.00 degrees
Positions (direct):
Zn1 0.0000 0.0000 0.1934
Zn2 0.0000 0.0000 0.8066
Pt1 0.5000 0.5000 0.0000
Br1 0.5000 0.0000 0.5000

Values from the calculation:
- DOS(E_F) (states/eV/cell) = 1.01
- density (g cm⁻³) = 9.39
- magnetization (μB/cell) = 0.00

Which structure wins on stability? arrangement x wins.

Arrangement w

## Zn2PtBr (GGA-PBEsol)

Data for crystalline Zn2PtBr at its relaxed geometry.

Cell lengths 4.5624, 4.5624, 4.5624 Å; angles 60.00, 60.00, 60.00 degrees
Positions (direct):
Zn1 0.2500 0.2500 0.2500
Zn2 0.7500 0.7500 0.7500
Pt1 0.0000 0.0000 0.0000
Br1 0.5000 0.5000 0.5000

Values from the calculation:
- DOS(E_F) (states/eV/cell) = 1.64
- density (g cm⁻³) = 10.03
- magnetization (μB/cell) = 0.00

Arrangement x

## Zn2PtBr (GGA-PBEsol)

Data for crystalline Zn2PtBr at its relaxed geometry.

Cell lengths 3.4990, 3.4990, 6.5430 Å; angles 90.00, 90.00, 90.00 degrees
Positions (direct):
Zn1 0.0000 0.0000 0.0000
Zn2 0.5000 0.5000 0.3428
Pt1 0.5000 0.5000 0.9759
Br1 0.0000 0.0000 0.5098

Values from the calculation:
- DOS(E_F) (states/eV/cell) = 1.04
- density (g cm⁻³) = 8.41
- magnetization (μB/cell) = 0.00

Which structure wins on stability? arrangement x wins.

Arrangement w

## Zr2PtBr (GGA-PBEsol)

Data for crystalline Zr2PtBr at its relaxed geometry.

Cell lengths 5.8786, 5.8786, 5.8786 Å; angles 141.57, 141.57, 55.48 degrees
Positions (direct):
Zr1 0.0000 0.0000 0.0000
Zr2 0.7500 0.2500 0.5000
Pt1 0.2500 0.7500 0.5000
Br1 0.5000 0.5000 0.0000

Values from the calculation:
- DOS(E_F) (states/eV/cell) = 3.96
- density (g cm⁻³) = 9.75
- magnetization (μB/cell) = 0.00

Arrangement x

## Zr2PtBr (GGA-PBEsol)

Data for crystalline Zr2PtBr at its relaxed geometry.

Cell lengths 4.3928, 5.4793, 3.3148 Å; angles 90.00, 90.00, 90.00 degrees
Positions (direct):
Zr1 0.0000 0.0000 0.0000
Zr2 0.5000 0.5000 0.4871
Pt1 0.0000 0.5000 0.9842
Br1 0.5000 0.0000 0.4951

Values from the calculation:
- DOS(E_F) (states/eV/cell) = 2.14
- density (g cm⁻³) = 9.52
- magnetization (μB/cell) = 0.00

Which structure wins on stability? arrangement x wins.

Arrangement w

## ZrPtBr2 (GGA-PBEsol)

Data for crystalline ZrPtBr2 at its relaxed geometry.

Cell lengths 4.7421, 4.7421, 4.7421 Å; angles 60.00, 60.00, 60.00 degrees
Positions (direct):
Zr1 0.0000 0.0000 0.0000
Pt1 0.5000 0.5000 0.5000
Br1 0.2500 0.2500 0.2500
Br2 0.7500 0.7500 0.7500

Values from the calculation:
- DOS(E_F) (states/eV/cell) = 3.62
- density (g cm⁻³) = 9.82
- magnetization (μB/cell) = 0.00

Arrangement x

## ZrPtBr2 (GGA-PBEsol)

Data for crystalline ZrPtBr2 at its relaxed geometry.

Cell lengths 8.5417, 8.5417, 8.5417 Å; angles 25.43, 25.43, 25.43 degrees
Positions (direct):
Zr1 0.0000 0.0000 0.0000
Pt1 0.2767 0.2767 0.2767
Br1 0.5399 0.5399 0.5399
Br2 0.7423 0.7423 0.7423

Values from the calculation:
- DOS(E_F) (states/eV/cell) = 0.00
- density (g cm⁻³) = 7.33
- magnetization (μB/cell) = 0.00

Which structure wins on stability? arrangement x wins.

Arrangement w

## ZrPt2Br (GGA-PBEsol)

Data for crystalline ZrPt2Br at its relaxed geometry.

Cell lengths 9.1454, 9.1454, 9.1454 Å; angles 19.25, 19.25, 19.25 degrees
Positions (direct):
Zr1 0.0000 0.0000 0.0000
Pt1 0.4947 0.4947 0.4947
Pt2 0.7467 0.7467 0.7467
Br1 0.2581 0.2581 0.2581

Values from the calculation:
- DOS(E_F) (states/eV/cell) = 2.95
- density (g cm⁻³) = 12.82
- magnetization (μB/cell) = 0.00

Arrangement x

## ZrPt2Br (GGA-PBEsol)

Data for crystalline ZrPt2Br at its relaxed geometry.

Cell lengths 4.7481, 4.7481, 6.5597 Å; angles 98.21, 98.21, 44.47 degrees
Positions (direct):
Zr1 0.0000 0.0000 0.0000
Pt1 0.4169 0.4169 0.2536
Pt2 0.7002 0.7002 0.1721
Br1 0.4245 0.4245 0.6779

Values from the calculation:
- DOS(E_F) (states/eV/cell) = 2.01
- density (g cm⁻³) = 9.11
- magnetization (μB/cell) = 0.00

Which structure wins on stability? arrangement x wins.

Arrangement w

## ReBr3 (GGA-PBEsol)

Data for crystalline ReBr3 at its relaxed geometry.

Cell lengths 6.8832, 6.8832, 6.8832 Å; angles 153.91, 138.94, 49.30 degrees
Positions (direct):
Re1 0.0000 0.0000 0.0000
Br1 0.1608 0.6609 0.5000
Br2 0.5000 0.5000 0.0000
Br3 0.8392 0.3392 0.5000

Values from the calculation:
- DOS(E_F) (states/eV/cell) = 3.44
- density (g cm⁻³) = 7.54
- magnetization (μB/cell) = 0.01

Arrangement x

## ReBr3 (GGA-PBEsol)

Data for crystalline ReBr3 at its relaxed geometry.

Cell lengths 6.2580, 6.2580, 6.2580 Å; angles 148.77, 69.80, 119.36 degrees
Positions (direct):
Re1 0.0000 0.0000 0.0000
Br1 0.0131 0.3518 0.6614
Br2 0.3008 0.8008 0.5000
Br3 0.6904 0.3518 0.3386

Values from the calculation:
- DOS(E_F) (states/eV/cell) = 1.93
- density (g cm⁻³) = 6.47
- magnetization (μB/cell) = 2.02

Which structure wins on stability? arrangement x wins.

Arrangement w

## TaRe2Br (GGA-PBEsol)

Data for crystalline TaRe2Br at its relaxed geometry.

Cell lengths 2.9314, 4.6401, 4.6431 Å; angles 90.00, 90.00, 90.00 degrees
Positions (direct):
Ta1 0.0000 0.0000 0.0000
Re1 0.0000 0.5000 0.5000
Re2 0.5000 0.0000 0.5000
Br1 0.5000 0.5000 0.0000

Values from the calculation:
- DOS(E_F) (states/eV/cell) = 3.34
- density (g cm⁻³) = 16.65
- magnetization (μB/cell) = 0.00

Arrangement x

## TaRe2Br (GGA-PBEsol)

Data for crystalline TaRe2Br at its relaxed geometry.

Cell lengths 3.0170, 4.1092, 5.5086 Å; angles 90.00, 90.00, 90.00 degrees
Positions (direct):
Ta1 0.0000 0.0000 0.0000
Re1 0.5000 0.5000 0.2127
Re2 0.5000 0.5000 0.7873
Br1 0.0000 0.0000 0.5000

Values from the calculation:
- DOS(E_F) (states/eV/cell) = 3.08
- density (g cm⁻³) = 15.40
- magnetization (μB/cell) = 0.00

Arrangement y

## TaRe2Br (GGA-PBEsol)

Data for crystalline TaRe2Br at its relaxed geometry.

Cell lengths 2.8527, 4.7040, 4.8394 Å; angles 90.00, 92.36, 90.00 degrees
Positions (direct):
Ta1 0.0000 0.0000 0.0000
Re1 0.3143 0.5000 0.7569
Re2 0.6857 0.5000 0.2431
Br1 0.5000 0.0000 0.5000

Values from the calculation:
- DOS(E_F) (states/eV/cell) = 4.38
- density (g cm⁻³) = 16.21
- magnetization (μB/cell) = 0.00

Which structure wins on stability? arrangement w wins.